# NaErZn4, optimized geometry, DFT GGA-PBE
data_NaErZn4
_chemical_formula_sum 'Na4 Er4 Zn16'
_space_group_name_H-M_alt 'F -4 3 m'
_space_group_IT_number 216
_space_group_name_Hall 'F -4 2 3'
_cell_length_a 7.6609
_cell_length_b 7.6609
_cell_length_c 7.6609
_cell_angle_alpha 90.00
_cell_angle_beta 90.00
_cell_angle_gamma 90.00
loop_
_atom_site_label
_atom_site_fract_x
_atom_site_fract_y
_atom_site_fract_z
_atom_site_occupancy
Na1 0.0000 0.0000 0.0000 1
Er1 0.2500 0.2500 0.7500 1
Zn1 0.1249 0.1249 0.3751 1
# Volume (Å³/f.u.): 112.40
# ΔH_f (0 K) (eV per atom): -0.14
# VASP energy (eV/cell): -47.39

---

# ErThH4, optimized geometry, DFT GGA-PBE
data_ErThH4
_chemical_formula_sum 'Er1 Th1 H4'
_space_group_name_H-M_alt 'P 4/m m m'
_space_group_IT_number 123
_space_group_name_Hall '-P 4 2'
_cell_length_a 3.6559
_cell_length_b 3.6559
_cell_length_c 5.5158
_cell_angle_alpha 90.00
_cell_angle_beta 90.00
_cell_angle_gamma 90.00
loop_
_atom_site_label
_atom_site_fract_x
_atom_site_fract_y
_atom_site_fract_z
_atom_site_occupancy
Er1 0.0000 0.0000 0.0000 1
Th1 0.5000 0.5000 0.5000 1
H1 0.0000 0.5000 0.2309 1
# Volume (Å³/f.u.): 73.72
# VASP energy (eV/cell): -29.05